# PBE PrSm2Be, relaxed
data_PrSm2Be
_cell_length_a 3.5306
_cell_length_b 3.5306
_cell_length_c 11.8535
_cell_angle_alpha 81.44
_cell_angle_beta 81.44
_cell_angle_gamma 60.00
_symmetry_space_group_name_H-M 'P 1'
_symmetry_Int_Tables_number 1
loop_
_symmetry_equiv_pos_as_xyz
'x,y,z'
loop_
_atom_site_label
_atom_site_fract_x
_atom_site_fract_y
_atom_site_fract_z
Pr1 0.5000 0.5000 0.5000
Be1 0.0000 0.0000 0.0000
Sm1 0.0833 0.0833 0.7501
Sm2 0.9167 0.9167 0.2499
# - calculated formation energy (eV/atom) = 0.714
# - energy above the most stable polymorph in this dataset (meV/atom) = 617

---

# PBE AlGa2Pb2O6, relaxed
data_AlGa2Pb2O6
_cell_length_a 5.5381
_cell_length_b 5.7382
_cell_length_c 6.8063
_cell_angle_alpha 121.52
_cell_angle_beta 90.00
_cell_angle_gamma 118.85
_symmetry_space_group_name_H-M 'P 1'
_symmetry_Int_Tables_number 1
loop_
_symmetry_equiv_pos_as_xyz
'x,y,z'
loop_
_atom_site_label
_atom_site_fract_x
_atom_site_fract_y
_atom_site_fract_z
Al1 0.5000 0.0000 0.5000
Ga1 0.9444 0.8888 0.7662
Ga2 0.0556 0.1112 0.2338
Pb1 0.7115 0.4231 0.1549
Pb2 0.2885 0.5769 0.8451
O1 0.7222 0.4443 0.5950
O2 0.1897 0.8727 0.2487
O3 0.3170 0.1273 0.7513
O4 0.8103 0.1273 0.7513
O5 0.6830 0.8727 0.2487
O6 0.2778 0.5557 0.4050
# - formation energy without anion corrections (eV/atom) = -1.567

---

# PBE Pr2PaTl3S6, relaxed
data_Pr2PaTl3S6
_cell_length_a 7.1798
_cell_length_b 7.1798
_cell_length_c 7.9351
_cell_angle_alpha 98.69
_cell_angle_beta 98.69
_cell_angle_gamma 119.94
_symmetry_space_group_name_H-M 'P 1'
_symmetry_Int_Tables_number 1
loop_
_symmetry_equiv_pos_as_xyz
'x,y,z'
loop_
_atom_site_label
_atom_site_fract_x
_atom_site_fract_y
_atom_site_fract_z
Pr1 0.3337 0.6663 0.0000
Pr2 0.6663 0.3337 0.0000
Pa1 0.0000 0.0000 0.0000
Tl1 0.1705 0.8295 0.5000
Tl2 0.8295 0.1705 0.5000
Tl3 0.5000 0.5000 0.5000
S1 0.9329 0.6163 0.7985
S2 0.7528 0.7528 0.2053
S3 0.0671 0.3837 0.2015
S4 0.6163 0.9329 0.7985
S5 0.2472 0.2472 0.7947
S6 0.3837 0.0671 0.2015
# - formation energy without anion corrections (eV/atom) = -1.319

---

# PBE ZnP6Pt3, relaxed
data_ZnP6Pt3
_cell_length_a 7.3982
_cell_length_b 7.3982
_cell_length_c 3.7639
_cell_angle_alpha 90.00
_cell_angle_beta 90.00
_cell_angle_gamma 118.42
_symmetry_space_group_name_H-M 'P 1'
_symmetry_Int_Tables_number 1
loop_
_symmetry_equiv_pos_as_xyz
'x,y,z'
loop_
_atom_site_label
_atom_site_fract_x
_atom_site_fract_y
_atom_site_fract_z
Zn1 0.5000 0.5000 0.0000
P1 0.6349 0.3651 0.5000
P2 0.3651 0.6349 0.5000
P3 0.6479 0.9069 0.0000
P4 0.3521 0.0931 0.0000
P5 0.0931 0.3521 0.0000
P6 0.9069 0.6479 0.0000
Pt1 0.0000 0.0000 0.0000
Pt2 0.5000 0.0000 0.5000
Pt3 0.0000 0.5000 0.5000
# - calculated formation energy (eV/atom) = -0.087

---

# PBE Hf2VCu2, relaxed
data_Hf2VCu2
_cell_length_a 7.1524
_cell_length_b 7.1524
_cell_length_c 3.3252
_cell_angle_alpha 90.00
_cell_angle_beta 90.00
_cell_angle_gamma 90.00
_symmetry_space_group_name_H-M 'P 1'
_symmetry_Int_Tables_number 1
loop_
_symmetry_equiv_pos_as_xyz
'x,y,z'
loop_
_atom_site_label
_atom_site_fract_x
_atom_site_fract_y
_atom_site_fract_z
Hf1 0.1795 0.6795 0.5000
Hf2 0.6795 0.8205 0.5000
Hf3 0.8205 0.3205 0.5000
Hf4 0.3205 0.1795 0.5000
Cu1 0.3789 0.8789 0.0000
Cu2 0.8789 0.6211 0.0000
Cu3 0.6211 0.1211 0.0000
Cu4 0.1211 0.3789 0.0000
V1 0.0000 0.0000 0.0000
V2 0.5000 0.5000 0.0000
# - calculated formation energy (eV/atom) = 0.046

---

# PBE As2PtCl, relaxed
data_As2PtCl
_cell_length_a 4.9607
_cell_length_b 4.9607
_cell_length_c 2.9113
_cell_angle_alpha 90.00
_cell_angle_beta 90.00
_cell_angle_gamma 90.00
_symmetry_space_group_name_H-M 'P 1'
_symmetry_Int_Tables_number 1
loop_
_symmetry_equiv_pos_as_xyz
'x,y,z'
loop_
_atom_site_label
_atom_site_fract_x
_atom_site_fract_y
_atom_site_fract_z
As1 0.0000 0.0000 0.0000
As2 0.5000 0.5000 0.0000
Pt1 0.0000 0.5000 0.5000
Cl1 0.5000 0.0000 0.5000
# - formation energy without anion corrections (eV/atom) = 0.341
# - energy above the most stable polymorph in this dataset (meV/atom) = 695

---

# PBE YHfVCd2, relaxed
data_YHfVCd2
_cell_length_a 5.3837
_cell_length_b 4.6853
_cell_length_c 5.3837
_cell_angle_alpha 90.00
_cell_angle_beta 90.00
_cell_angle_gamma 90.00
_symmetry_space_group_name_H-M 'P 1'
_symmetry_Int_Tables_number 1
loop_
_symmetry_equiv_pos_as_xyz
'x,y,z'
loop_
_atom_site_label
_atom_site_fract_x
_atom_site_fract_y
_atom_site_fract_z
Y1 0.0000 0.0000 0.0000
V1 0.0000 0.5000 0.0000
Hf1 0.5000 0.5000 0.5000
Cd1 0.0000 0.0000 0.5000
Cd2 0.5000 0.0000 0.0000
# - calculated formation energy (eV/atom) = 1.494

---

# PBE CaAgP, relaxed
data_CaAgP
_cell_length_a 4.3690
_cell_length_b 4.3690
_cell_length_c 9.2136
_cell_angle_alpha 90.00
_cell_angle_beta 90.00
_cell_angle_gamma 120.00
_symmetry_space_group_name_H-M 'P 1'
_symmetry_Int_Tables_number 1
loop_
_symmetry_equiv_pos_as_xyz
'x,y,z'
loop_
_atom_site_label
_atom_site_fract_x
_atom_site_fract_y
_atom_site_fract_z
Ca1 0.6667 0.3333 0.7488
Ca2 0.3333 0.6667 0.2488
Ag1 0.6667 0.3333 0.4298
Ag2 0.3333 0.6667 0.9298
P1 0.0000 0.0000 0.9211
P2 0.0000 0.0000 0.4211
# - calculated formation energy (eV/atom) = -0.453

---

# PBE K2W2C, relaxed
data_K2W2C
_cell_length_a 5.7014
_cell_length_b 5.7014
_cell_length_c 6.2313
_cell_angle_alpha 90.00
_cell_angle_beta 90.00
_cell_angle_gamma 90.00
_symmetry_space_group_name_H-M 'P 1'
_symmetry_Int_Tables_number 1
loop_
_symmetry_equiv_pos_as_xyz
'x,y,z'
loop_
_atom_site_label
_atom_site_fract_x
_atom_site_fract_y
_atom_site_fract_z
K1 0.1789 0.6789 0.5000
K2 0.6789 0.8211 0.5000
K3 0.8211 0.3211 0.5000
K4 0.3211 0.1789 0.5000
C1 0.0000 0.0000 0.0000
C2 0.5000 0.5000 0.0000
W1 0.3288 0.8288 0.0000
W2 0.8288 0.6712 0.0000
W3 0.6712 0.1712 0.0000
W4 0.1712 0.3288 0.0000
# - calculated formation energy (eV/atom) = 0.963
# - energy above the most stable polymorph in this dataset (meV/atom) = 0

---

# PBE Dy3Tl2Cd2, relaxed
data_Dy3Tl2Cd2
_cell_length_a 4.7688
_cell_length_b 3.4052
_cell_length_c 11.4663
_cell_angle_alpha 90.00
_cell_angle_beta 78.00
_cell_angle_gamma 90.00
_symmetry_space_group_name_H-M 'P 1'
_symmetry_Int_Tables_number 1
loop_
_symmetry_equiv_pos_as_xyz
'x,y,z'
loop_
_atom_site_label
_atom_site_fract_x
_atom_site_fract_y
_atom_site_fract_z
Dy1 0.8453 0.0000 0.3094
Dy2 0.0000 0.0000 0.0000
Dy3 0.1547 0.0000 0.6906
Tl1 0.5777 0.5000 0.8446
Tl2 0.4223 0.5000 0.1554
Cd1 0.7166 0.5000 0.5669
Cd2 0.2834 0.5000 0.4331
# - calculated formation energy (eV/atom) = -0.286

---

# PBE CeSb3Au, relaxed
data_CeSb3Au
_cell_length_a 6.2902
_cell_length_b 6.3240
_cell_length_c 13.0404
_cell_angle_alpha 90.00
_cell_angle_beta 90.00
_cell_angle_gamma 90.00
_symmetry_space_group_name_H-M 'P 1'
_symmetry_Int_Tables_number 1
loop_
_symmetry_equiv_pos_as_xyz
'x,y,z'
loop_
_atom_site_label
_atom_site_fract_x
_atom_site_fract_y
_atom_site_fract_z
Ce1 0.7500 0.5011 0.6891
Ce2 0.2500 0.4989 0.3109
Ce3 0.7500 0.0011 0.3109
Ce4 0.2500 0.9989 0.6891
Sb1 0.0000 0.2500 0.4995
Sb2 0.5000 0.7500 0.5005
Sb3 0.0000 0.7500 0.5005
Sb4 0.5000 0.2500 0.4995
Sb5 0.2500 0.1382 0.9324
Sb6 0.7500 0.8618 0.0676
Sb7 0.2500 0.6382 0.0676
Sb8 0.7500 0.3618 0.9324
Sb9 0.2500 0.4974 0.7407
Sb10 0.7500 0.5026 0.2593
Sb11 0.2500 0.9974 0.2593
Sb12 0.7500 0.0026 0.7407
Au1 0.5000 0.2500 0.1114
Au2 0.0000 0.7500 0.8886
Au3 0.5000 0.7500 0.8886
Au4 0.0000 0.2500 0.1114
# - formation energy without anion corrections (eV/atom) = -0.455

---

# PBE ZnRe2Hg, relaxed
data_ZnRe2Hg
_cell_length_a 4.9921
_cell_length_b 4.9921
_cell_length_c 4.8419
_cell_angle_alpha 79.43
_cell_angle_beta 79.43
_cell_angle_gamma 33.02
_symmetry_space_group_name_H-M 'P 1'
_symmetry_Int_Tables_number 1
loop_
_symmetry_equiv_pos_as_xyz
'x,y,z'
loop_
_atom_site_label
_atom_site_fract_x
_atom_site_fract_y
_atom_site_fract_z
Hg1 0.2500 0.2500 0.2500
Re1 0.0053 0.0053 0.9849
Re2 0.4947 0.4947 0.5151
Zn1 0.7500 0.7500 0.7500
# - calculated formation energy (eV/atom) = 0.605
# - energy above the most stable polymorph in this dataset (meV/atom) = 348

---

# PBE Ac6Mg5Sc, relaxed
data_Ac6Mg5Sc
_cell_length_a 5.8111
_cell_length_b 8.2262
_cell_length_c 9.2120
_cell_angle_alpha 90.00
_cell_angle_beta 108.52
_cell_angle_gamma 90.00
_symmetry_space_group_name_H-M 'P 1'
_symmetry_Int_Tables_number 1
loop_
_symmetry_equiv_pos_as_xyz
'x,y,z'
loop_
_atom_site_label
_atom_site_fract_x
_atom_site_fract_y
_atom_site_fract_z
Sc1 0.0000 0.0000 0.0000
Ac1 0.8340 0.7514 0.6678
Ac2 0.8340 0.2486 0.6678
Ac3 0.5000 0.2524 0.0000
Ac4 0.5000 0.7476 0.0000
Ac5 0.1660 0.7514 0.3322
Ac6 0.1660 0.2486 0.3322
Mg1 0.6672 0.5000 0.3353
Mg2 0.3369 0.0000 0.6740
Mg3 0.0000 0.5000 0.0000
Mg4 0.6631 0.0000 0.3260
Mg5 0.3328 0.5000 0.6647
# - calculated formation energy (eV/atom) = -0.040

---

# PBE BaLiHoTe3, relaxed
data_BaLiHoTe3
_cell_length_a 4.5435
_cell_length_b 7.8539
_cell_length_c 11.4717
_cell_angle_alpha 90.00
_cell_angle_beta 90.00
_cell_angle_gamma 106.81
_symmetry_space_group_name_H-M 'P 1'
_symmetry_Int_Tables_number 1
loop_
_symmetry_equiv_pos_as_xyz
'x,y,z'
loop_
_atom_site_label
_atom_site_fract_x
_atom_site_fract_y
_atom_site_fract_z
Ba1 0.7509 0.5018 0.7500
Ba2 0.2491 0.4982 0.2500
Li1 0.4723 0.9446 0.7500
Li2 0.5277 0.0554 0.2500
Ho1 0.0000 0.0000 0.5000
Ho2 0.0000 0.0000 0.0000
Te1 0.6351 0.2701 0.4440
Te2 0.3649 0.7299 0.5560
Te3 0.3649 0.7299 0.9440
Te4 0.6351 0.2701 0.0560
Te5 0.0736 0.1472 0.7500
Te6 0.9264 0.8528 0.2500
# - formation energy without anion corrections (eV/atom) = -1.468

---

# PBE SrTaCrHg2, relaxed
data_SrTaCrHg2
_cell_length_a 5.2934
_cell_length_b 4.4487
_cell_length_c 5.2934
_cell_angle_alpha 90.00
_cell_angle_beta 90.00
_cell_angle_gamma 90.00
_symmetry_space_group_name_H-M 'P 1'
_symmetry_Int_Tables_number 1
loop_
_symmetry_equiv_pos_as_xyz
'x,y,z'
loop_
_atom_site_label
_atom_site_fract_x
_atom_site_fract_y
_atom_site_fract_z
Cr1 0.0000 0.0000 0.0000
Sr1 0.5000 0.5000 0.5000
Hg1 0.0000 0.0000 0.5000
Hg2 0.5000 0.0000 0.0000
Ta1 0.0000 0.5000 0.0000
# - calculated formation energy (eV/atom) = 0.479
# - energy above the most stable polymorph in this dataset (meV/atom) = 0

---

# PBE CaPr2Ir, relaxed
data_CaPr2Ir
_cell_length_a 3.6393
_cell_length_b 3.6393
_cell_length_c 9.7584
_cell_angle_alpha 90.00
_cell_angle_beta 90.00
_cell_angle_gamma 90.00
_symmetry_space_group_name_H-M 'P 1'
_symmetry_Int_Tables_number 1
loop_
_symmetry_equiv_pos_as_xyz
'x,y,z'
loop_
_atom_site_label
_atom_site_fract_x
_atom_site_fract_y
_atom_site_fract_z
Pr1 0.0000 0.0000 0.8296
Pr2 0.0000 0.0000 0.1704
Ca1 0.5000 0.5000 0.5000
Ir1 0.5000 0.5000 0.0000
# - calculated formation energy (eV/atom) = -0.263
# - energy above the most stable polymorph in this dataset (meV/atom) = 107

---

# PBE Ag3BO3, relaxed
data_Ag3BO3
_cell_length_a 5.9619
_cell_length_b 5.9619
_cell_length_c 5.9619
_cell_angle_alpha 116.62
_cell_angle_beta 116.62
_cell_angle_gamma 116.62
_symmetry_space_group_name_H-M 'P 1'
_symmetry_Int_Tables_number 1
loop_
_symmetry_equiv_pos_as_xyz
'x,y,z'
loop_
_atom_site_label
_atom_site_fract_x
_atom_site_fract_y
_atom_site_fract_z
Ag1 0.0000 0.5102 0.4898
Ag2 0.4898 0.0000 0.5102
Ag3 0.5102 0.4898 0.0000
B1 0.0000 0.0000 0.0000
O1 0.8636 0.0000 0.1364
O2 0.1364 0.8636 0.0000
O3 0.0000 0.1364 0.8636
# - formation energy without anion corrections (eV/atom) = -0.845
# - energy above the most stable polymorph in this dataset (meV/atom) = 52

---

# PBE CdIrS, relaxed
data_CdIrS
_cell_length_a 4.1911
_cell_length_b 5.7335
_cell_length_c 5.2367
_cell_angle_alpha 103.01
_cell_angle_beta 113.59
_cell_angle_gamma 90.00
_symmetry_space_group_name_H-M 'P 1'
_symmetry_Int_Tables_number 1
loop_
_symmetry_equiv_pos_as_xyz
'x,y,z'
loop_
_atom_site_label
_atom_site_fract_x
_atom_site_fract_y
_atom_site_fract_z
Ir1 0.8202 0.1442 0.6405
Ir2 0.1798 0.8558 0.3595
S1 0.4170 0.1556 0.8339
S2 0.5830 0.8444 0.1661
Cd1 0.1442 0.3557 0.2884
Cd2 0.8558 0.6443 0.7116
# - formation energy without anion corrections (eV/atom) = 0.046

---

# PBE Na2PdN, relaxed
data_Na2PdN
_cell_length_a 9.9121
_cell_length_b 9.9121
_cell_length_c 7.2664
_cell_angle_alpha 47.00
_cell_angle_beta 47.00
_cell_angle_gamma 90.00
_symmetry_space_group_name_H-M 'P 1'
_symmetry_Int_Tables_number 1
loop_
_symmetry_equiv_pos_as_xyz
'x,y,z'
loop_
_atom_site_label
_atom_site_fract_x
_atom_site_fract_y
_atom_site_fract_z
Na1 0.3794 0.1250 0.2500
Na2 0.3706 0.6250 0.2500
Na3 0.3750 0.6206 0.7500
Na4 0.8750 0.6294 0.7500
Pd1 0.0000 0.0000 0.0000
Pd2 0.7500 0.2500 0.5000
N1 0.5000 0.5000 0.0000
N2 0.2500 0.7500 0.5000
# - formation energy without anion corrections (eV/atom) = -0.005